(1)
Material: CrNiAu2
Method: DFT, GGA-PBE
State: relaxed

a b c (Å): 3.1403 3.1345 6.2369
angles (deg): 90.00 90.00 90.00
Last column: magnetic moment on the atom in μB.
Element x y z (fractional)
Ni (0.5000, 0.5000, 0.7205)  0.11
Cr (0.0000, 0.0000, 0.5330)  2.84
Au (0.5000, 0.5000, 0.2748)  0.07
Au (0.0000, 0.0000, 0.9717)  0.02

Output
DFT formation energy in kJ per mole of atoms: 12
SG: P4mm
Magnetic moment in μB/f.u.: 3.234
Energy in eV per formula unit: -21.462
Density in g/cm3: 13.65



(2)
Material: CrNiAu2
Method: DFT, GGA-PBE
State: relaxed

a b c (Å): 4.7734 4.7734 4.7734
angles (deg): 130.35 130.31 72.88
Last column: magnetic moment on the atom in μB.
Element x y z (fractional)
Au (0.0000, 0.0000, 0.0000)  0.08
Au (0.5000, 0.5000, 0.0000)  0.08
Cr (0.7500, 0.2500, 0.5000)  3.31
Ni (0.2500, 0.7500, 0.5000)  -0.01

Output
DFT formation energy in kJ per mole of atoms: 13
SG: I4/mmm
Magnetic moment in μB/f.u.: 3.736
Energy in eV per formula unit: -21.427
Density in g/cm3: 13.57



(3)
Material: CrNi2Au
Method: DFT, GGA-PBE
State: relaxed

a b c (Å): 2.6612 2.6612 7.2694
angles (deg): 90.00 90.00 89.96
Last column: magnetic moment on the atom in μB.
Element x y z (fractional)
Ni (0.0000, 0.0000, 0.9974)  0.00
Ni (0.5000, 0.5000, 0.2237)  -0.07
Cr (0.5000, 0.5000, 0.7809)  0.09
Au (0.0000, 0.0000, 0.4980)  0.00

Output
DFT formation energy in kJ per mole of atoms: 19
SG: P4mm
Magnetic moment in μB/f.u.: 0.026
Energy in eV per formula unit: -23.666
Density in g/cm3: 11.82



(4)
Material: CrNiAu2
Method: DFT, GGA-PBE
State: relaxed

a b c (Å): 4.4624 4.4624 4.4624
angles (deg): 60.00 60.00 60.00
Last column: magnetic moment on the atom in μB.
Element x y z (fractional)
Au (0.0000, 0.0000, 0.0000)  0.00
Au (0.2500, 0.2500, 0.2500)  0.07
Ni (0.7500, 0.7500, 0.7500)  0.12
Cr (0.5000, 0.5000, 0.5000)  3.33

Output
DFT formation energy in kJ per mole of atoms: 20
SG: F-43m
Magnetic moment in μB/f.u.: 3.788
Energy in eV per formula unit: -21.115
Density in g/cm3: 13.34